First-principles (PBE) data for a relaxed TmNbHg crystal, as listed in the Open Quantum Materials Database.

VASP energy: -4.4071 eV/atom
ρ: 9.86 g/cm³
formation energy: 159 kJ/mol of formula units
magnetization: 1.92 μB per cell
energy above the most stable polymorph in this dataset: 0.0 meV per atom

Cell: 4.794 4.794 4.794 Å, 60.00 60.00 60.00°
Atoms (fractional coordinates):
Tm 0.000 0.000 0.000
Nb 0.500 0.500 0.500
Hg 0.750 0.750 0.750